The following is a GGA-PBE calculation of crystalline Tc2AgP at its relaxed geometry, from Alexandria.

Lattice parameters (Å, degrees): 2.9333 4.5208 8.9764 90.00 90.00 90.00
Closest atoms and distances in Å follow each position.
Space group Immm (No. 71)
One atom of each set of equivalent atoms:
Tc1 0.0000 0.0000 0.2065 [4 per cell]  2 P 2.36
Ag1 0.0000 0.5000 0.0000 [2 per cell]  4 P 2.69, 8 Tc 2.92-3.02, 2 Ag 2.93
P1 0.0000 0.5000 0.5000 [2 per cell]  4 Tc 2.36

Energy of formation = 0.1332 eV per atom
Crystal system = orthorhombic
Total magnetization = 0.0 μB/f.u.